PtPb2W, relaxed, DFT PBE; calculated total energy = -5.78 eV/atom; energy above the most stable polymorph in this dataset = 585 meV per atom; total magnetic moment = 0.000 μB per cell; crystal system = monoclinic
1.0
-3.707 -2.876 -0.648
1.035 -0.706 -2.792
3.112 -4.469 2.032
Pb Pt W
2 1 1
Direct
0.000 0.023 0.999
0.000 0.477 0.501
0.500 0.250 0.250
0.500 0.750 0.750